# KTi2P (PBE-GGA, relaxed)
data_KTi2P
_chemical_formula_sum 'K2 Ti4 P2'
_cell_length_a 9.575
_cell_length_b 9.575
_cell_length_c 9.575
_cell_angle_alpha 150.86
_cell_angle_beta 150.86
_cell_angle_gamma 41.68
_symmetry_space_group_name_H-M 'P 1'
_symmetry_Int_Tables_number 1
_symmetry_space_group_name_Hall 'P 1'
loop_
_atom_site_label
_atom_site_fract_x
_atom_site_fract_y
_atom_site_fract_z
_atom_site_occupancy
K1 0.375 0.625 0.750 1
K2 0.625 0.375 0.250 1
Ti1 0.000 0.000 0.000 1
Ti2 0.000 0.000 0.500 1
Ti3 0.000 0.500 0.000 1
Ti4 0.500 0.000 0.500 1
P1 0.125 0.875 0.250 1
P2 0.875 0.125 0.750 1
# Total moment, μB per formula unit: 0.00
# Symmetry: I4_1/amd (141)
# Calculated total energy, eV per atom: -5.19